No. 1
Pa3Tl4AgTe8 | PBE | optimized geometry

Geometry as CIF:
```
data_Pa3Tl4AgTe8
_space_group_name_H-M_alt 'C 1 2/m 1'
_space_group_IT_number 12
_cell_length_a 15.184
_cell_length_b 8.758
_cell_length_c 9.760
_cell_angle_alpha 90.00
_cell_angle_beta 121.25
_cell_angle_gamma 90.00
loop_
_space_group_symop_operation_xyz
'x,y,z'
'-x,-y,-z'
'-x,y,-z'
'x,-y,z'
'x+1/2,y+1/2,z'
'-x+1/2,-y+1/2,-z'
'-x+1/2,y+1/2,-z'
'x+1/2,-y+1/2,z'
loop_
_atom_site_label
_atom_site_type_symbol
_atom_site_fract_x
_atom_site_fract_y
_atom_site_fract_z
Pa1 Pa 0.000 0.000 0.000
Pa2 Pa 0.250 0.250 0.000
Tl1 Tl 0.000 0.000 0.500
Tl2 Tl 0.000 0.500 0.500
Tl3 Tl 0.250 0.250 0.500
Ag1 Ag 0.000 0.500 0.000
Te1 Te 0.012 0.249 0.786
Te2 Te 0.239 0.000 0.218
Te3 Te 0.239 0.500 0.214
```

Properties
Energy relative to the elements, uncorrected = -0.5492 eV/atom
Crystal system = monoclinic

---

No. 2
SrIrNF2 | PBE | optimized geometry

Geometry as CIF:
```
data_SrIrNF2
_space_group_name_H-M_alt 'P 4/m m m'
_space_group_IT_number 123
_space_group_name_Hall '-P 4 2'
_cell_length_a 4.661
_cell_length_b 4.661
_cell_length_c 3.721
_cell_angle_alpha 90.00
_cell_angle_beta 90.00
_cell_angle_gamma 90.00
loop_
_atom_site_label
_atom_site_type_symbol
_atom_site_fract_x
_atom_site_fract_y
_atom_site_fract_z
Sr1 Sr 0.000 0.000 0.000
Ir1 Ir 0.500 0.500 0.500
N1 N 0.500 0.500 0.000
F1 F 0.000 0.500 0.500
```

Properties
Energy relative to the elements, uncorrected = -1.2478 eV/atom
Crystal system = tetragonal

---

No. 3
Ho6SnIr2 | PBE | optimized geometry

Geometry as CIF:
```
data_Ho6SnIr2
_space_group_name_H-M_alt 'I m m m'
_space_group_IT_number 71
_space_group_name_Hall '-I 2 2'
_cell_length_a 9.376
_cell_length_b 9.570
_cell_length_c 10.397
_cell_angle_alpha 90.00
_cell_angle_beta 90.00
_cell_angle_gamma 90.00
loop_
_atom_site_label
_atom_site_type_symbol
_atom_site_fract_x
_atom_site_fract_y
_atom_site_fract_z
Ho1 Ho 0.000 0.206 0.238
Ho2 Ho 0.191 0.500 0.168
Ho3 Ho 0.213 0.318 0.500
Sn1 Sn 0.000 0.000 0.000
Sn2 Sn 0.000 0.000 0.500
Ir1 Ir 0.000 0.333 0.000
Ir2 Ir 0.000 0.500 0.368
```

Properties
DFT formation energy = -0.686 eV per atom
Crystal system = orthorhombic

---

No. 4
KRe2Te | PBE | optimized geometry

Geometry as CIF:
```
data_KRe2Te
_space_group_name_H-M_alt 'R -3 m'
_space_group_IT_number 166
_space_group_name_Hall '-R 3 2"'
_cell_length_a 3.1063
_cell_length_b 3.1063
_cell_length_c 29.8821
_cell_angle_alpha 90.00
_cell_angle_beta 90.00
_cell_angle_gamma 120.00
loop_
_atom_site_label
_atom_site_type_symbol
_atom_site_fract_x
_atom_site_fract_y
_atom_site_fract_z
K1 K 0.0000 0.0000 0.0000
Re1 Re 0.0000 0.0000 0.2333
Te1 Te 0.0000 0.0000 0.5000
```

Properties
Energy relative to the elements, uncorrected = 1.2854 eV/atom
Crystal system = trigonal

---

No. 5
BiSbTe3 | PBE | optimized geometry

Geometry as CIF:
```
data_BiSbTe3
_space_group_name_H-M_alt 'P 1 21/m 1'
_space_group_IT_number 11
_cell_length_a 7.244
_cell_length_b 5.517
_cell_length_c 11.153
_cell_angle_alpha 90.00
_cell_angle_beta 99.17
_cell_angle_gamma 90.00
loop_
_space_group_symop_operation_xyz
'x,y,z'
'-x,-y,-z'
'-x,y+1/2,-z'
'x,-y+1/2,z'
loop_
_atom_site_label
_atom_site_type_symbol
_atom_site_fract_x
_atom_site_fract_y
_atom_site_fract_z
Bi1 Bi 0.001 0.250 0.168
Sb1 Sb 0.482 0.750 0.343
Te1 Te 0.176 0.250 0.754
Te2 Te 0.204 0.750 0.098
Te3 Te 0.362 0.250 0.383
```

Properties
Energy relative to the elements, uncorrected = 0.0131 eV/atom
Crystal system = monoclinic

---

No. 6
SmZrTa | PBE | optimized geometry

Geometry as CIF:
```
data_SmZrTa
_space_group_name_H-M_alt 'F m m m'
_space_group_IT_number 69
_space_group_name_Hall '-F 2 2'
_cell_length_a 5.843
_cell_length_b 9.478
_cell_length_c 10.924
_cell_angle_alpha 90.00
_cell_angle_beta 90.00
_cell_angle_gamma 90.00
loop_
_atom_site_label
_atom_site_type_symbol
_atom_site_fract_x
_atom_site_fract_y
_atom_site_fract_z
Sm1 Sm 0.000 0.168 0.000
Zr1 Zr 0.000 0.000 0.330
Ta1 Ta 0.250 0.250 0.250
```

Properties
DFT formation energy = 0.346 eV per atom
Crystal system = orthorhombic

---

no.,DOS at the Fermi energy (states/eV per cell)
1,31.872
2,0.508
3,29.764
4,9.349
5,2.889
6,35.754